# KOsW, optimized geometry, DFT PBE-GGA
# D(E_F): 5.6 states/eV per cell
# ΔE_f: 156 kJ per mole of atoms
# Magnetization: 0.0 μB per formula unit
# Raw total energy: -6.805 eV/atom
data_KOsW
_cell_length_a 2.688
_cell_length_b 5.698
_cell_length_c 8.326
_cell_angle_alpha 90.00
_cell_angle_beta 90.00
_cell_angle_gamma 90.00
_symmetry_space_group_name_H-M 'I m m 2'
_symmetry_Int_Tables_number 44
_symmetry_space_group_name_Hall 'I 2 -2'
loop_
_atom_site_label
_atom_site_type_symbol
_atom_site_fract_x
_atom_site_fract_y
_atom_site_fract_z
_atom_site_occupancy
K1 K 0.000 0.000 0.000 1
Os1 Os 0.000 0.000 0.637 1
W1 W 0.000 0.000 0.362 1

---

# Ag2Pd7Au3, optimized geometry, DFT PBE-GGA
# D(E_F): 12.7 states/eV per cell
# ΔE_f: 8 kJ per mole of atoms
# Magnetization: 0.0 μB per formula unit
# Raw total energy: -4.241 eV/atom
data_Ag2Pd7Au3
_cell_length_a 4.685
_cell_length_b 2.794
_cell_length_c 15.641
_cell_angle_alpha 90.00
_cell_angle_beta 91.60
_cell_angle_gamma 90.00
_symmetry_space_group_name_H-M 'P 1 2/m 1'
_symmetry_Int_Tables_number 10
_symmetry_space_group_name_Hall '-P 2y'
loop_
_atom_site_label
_atom_site_type_symbol
_atom_site_fract_x
_atom_site_fract_y
_atom_site_fract_z
_atom_site_occupancy
Ag1 Ag 0.233 0.000 0.294 1
Pd1 Pd 0.191 0.500 0.144 1
Pd2 Pd 0.247 0.000 0.464 1
Pd3 Pd 0.305 0.000 0.830 1
Pd4 Pd 0.500 0.500 0.000 1
Au1 Au 0.000 0.000 0.000 1
Au2 Au 0.260 0.500 0.629 1